(1)
LiV2P2O9 | SCAN | single point on PBEsol structure

## Properties
Space group: Pnma, No. 62
Uncorrected formation energy: -59.698 kcal/mol of atoms

Unit cell a=6.2430 b=7.4647 c=13.7996 alpha=90.00 beta=90.00 gamma=90.00
With the nearest neighbours (Å) after each atom.
Element x y z (fractional)
O 0.4434 0.3667 0.8671  1 P 1.53
O 0.9560 0.0941 0.1304  1 P 1.55
O 0.2500 0.0319 0.7262  1 P 1.54
O 0.2500 0.7120 0.7482  1 P 1.56
O 0.9434 0.8667 0.6329  1 P 1.53
O 0.0566 0.1333 0.3671  1 P 1.53
O 0.7500 0.5055 0.9860  1 P 1.51
O 0.2500 0.4681 0.2262  1 P 1.54
O 0.7500 0.9945 0.4860  1 P 1.51
O 0.2500 0.6422 0.5501  3 V 1.82-2.01
O 0.7500 0.3578 0.4499  3 V 1.82-2.01
O 0.2500 0.7880 0.2482  1 P 1.56
O 0.7500 0.2120 0.7518  1 P 1.56
O 0.5440 0.0941 0.1304  1 P 1.55
O 0.0566 0.3667 0.8671  1 P 1.53
O 0.2500 0.8578 0.0501  3 V 1.82-2.01
O 0.2500 0.1649 0.9833  1 P 1.57
O 0.7500 0.9681 0.2738  1 P 1.54
O 0.2500 0.4945 0.0140  1 P 1.51
O 0.4560 0.5941 0.3696  1 P 1.55
O 0.4434 0.1333 0.3671  1 P 1.53
O 0.9560 0.4059 0.6304  1 P 1.55
O 0.2500 0.3351 0.4833  1 P 1.57
O 0.9434 0.6333 0.1329  1 P 1.53
O 0.4560 0.9059 0.8696  1 P 1.55
O 0.5440 0.4059 0.6304  1 P 1.55
O 0.7500 0.6649 0.5167  1 P 1.57
O 0.2500 0.0055 0.5140  1 P 1.51
O 0.7500 0.8351 0.0167  1 P 1.57
O 0.0440 0.5941 0.3696  1 P 1.55
O 0.7500 0.1422 0.9499  3 V 1.82-2.01
O 0.7500 0.5319 0.7738  1 P 1.54
O 0.0440 0.9059 0.8696  1 P 1.55
O 0.7500 0.2880 0.2518  1 P 1.56
O 0.5566 0.8667 0.6329  1 P 1.53
O 0.5566 0.6333 0.1329  1 P 1.53
V 0.0000 0.5000 0.5000  6 O 1.95-2.01
V 0.5000 0.0000 0.0000  6 O 1.95-2.01
V 0.5000 0.5000 0.5000  6 O 1.95-2.01
V 0.2500 0.6523 0.1206  6 O 1.82-2.03
V 0.2500 0.8477 0.6206  6 O 1.82-2.03
V 0.7500 0.1523 0.3794  6 O 1.82-2.03
V 0.7500 0.3477 0.8794  6 O 1.82-2.03
V 0.0000 0.0000 0.0000  6 O 1.95-2.01
P 0.7500 0.8554 0.5655  4 O 1.51-1.57
P 0.7500 0.3896 0.6927  4 O 1.54-1.56
P 0.7500 0.6446 0.0655  4 O 1.51-1.57
P 0.2500 0.3554 0.9345  4 O 1.51-1.57
P 0.7500 0.1104 0.1927  4 O 1.54-1.56
P 0.2500 0.1446 0.4345  4 O 1.51-1.57
P 0.2500 0.8896 0.8073  4 O 1.54-1.56
P 0.2500 0.6104 0.3073  4 O 1.54-1.56
Li 0.7500 0.9492 0.7715  1 O 1.98
Li 0.2500 0.0508 0.2285  1 O 1.98
Li 0.2500 0.4492 0.7285  1 O 1.98
Li 0.7500 0.5508 0.2715  1 O 1.98

***

(2)
TaPb3 | SCAN | single point on PBEsol structure

## Properties
Space group: P2/m, No. 10
ΔH_f (0 K): 583 meV/atom

Unit cell a=3.2137 b=5.2059 c=6.1187 alpha=90.00 beta=103.78 gamma=90.00
With the nearest neighbours (Å) after each atom.
Element x y z (fractional)
Pb 0.1152 0.0000 0.7666  2 Ta 3.08, 7 Pb 3.12-3.44
Pb 0.5000 0.5000 0.5000  2 Ta 3.06, 2 Pb 3.21
Pb 0.8848 0.0000 0.2334  2 Ta 3.08, 7 Pb 3.12-3.44
Ta 0.5000 0.5000 0.0000  6 Pb 3.06-3.08, 2 Ta 3.21